A relaxed LiYHPd2 crystal, computed with PBE-GGA.

## Properties
The offset from the most stable computed form comes out at 0.0 meV per atom. For the total energy, the calculation gives -24.34 eV per cell. Its size of the total moment is 0.00 μB per formula unit. The density of states at the Fermi level comes out at 3.0 states/eV/cell.

Geometry as CIF:
```
data_LiYHPd2
_cell_length_a 4.342
_cell_length_b 4.342
_cell_length_c 3.911
_cell_angle_alpha 90.00
_cell_angle_beta 90.00
_cell_angle_gamma 90.00
_symmetry_space_group_name_H-M 'P 4/m m m'
_symmetry_Int_Tables_number 123
_symmetry_space_group_name_Hall '-P 4 2'
loop_
_atom_site_label
_atom_site_type_symbol
_atom_site_fract_x
_atom_site_fract_y
_atom_site_fract_z
Li1 Li 0.000 0.000 0.000
Y1 Y 0.500 0.500 0.000
H1 H 0.000 0.000 0.500
Pd1 Pd 0.000 0.500 0.500
```